1.
First-principles (meta-GGA SCAN) data for a crystal of HgIrRh2 relaxed with PBEsol, as listed in Alexandria via LeMat-Bulk.

Computed properties:
As for the space group: Cmmm, No. 65. The value obtained for the energy of formation from the pure elements is 1.131 eV/f.u.

The structure in POSCAR format:
```
HgIrRh2
1.0
2.7710 0.0000 0.0000
0.0000 4.7790 0.0131
0.0000 -1.5616 4.5167
Ir Hg Rh
1 1 2
Direct
0.5000 0.5000 0.5000 Ir
0.5000 0.0000 0.0000 Hg
0.0000 0.5000 0.0000 Rh
0.0000 0.0000 0.5000 Rh
```

2.
First-principles (meta-GGA SCAN) data for a crystal of HgIrS2 relaxed with PBEsol, as listed in Alexandria via LeMat-Bulk.

Computed properties:
The value obtained for the formation energy without anion corrections is -0.25 eV/atom. As for the space group: R-3m, No. 166.

The structure in POSCAR format:
```
HgIrS2
1.0
-3.2290 1.1174 -0.9685
-2.4757 0.6287 2.4675
0.4597 7.8527 1.0161
Ir S Hg
1 2 1
Direct
0.5000 0.5000 0.5000 Ir
0.8833 0.8833 0.3500 S
0.1167 0.1167 0.6500 S
0.0000 0.0000 0.0000 Hg
```

3.
First-principles (meta-GGA SCAN) data for a crystal of HgIr2S relaxed with PBEsol, as listed in Alexandria via LeMat-Bulk.

Computed properties:
The value obtained for the formation energy without anion corrections is 0.49 eV/atom. As for the space group: I-42d, No. 122.

The structure in POSCAR format:
```
HgIr2S
1.0
5.6078 -0.0702 0.0000
-2.5146 5.0129 0.0000
-1.5466 -2.4714 4.7909
S Ir Hg
2 4 2
Direct
0.5000 0.5000 0.0000 S
0.7500 0.2500 0.5000 S
0.6250 0.2017 0.0767 Ir
0.1250 0.5483 0.9233 Ir
0.4517 0.3750 0.5767 Ir
0.7983 0.8750 0.4233 Ir
0.0000 0.0000 0.0000 Hg
0.2500 0.7500 0.5000 Hg
```

Number 1: VASP energy -205.7 eV for the cell shown. Number 2: VASP energy -159.5 eV for the cell shown. Number 3: VASP energy -436.1 eV for the cell shown.